(1)
Computed, not measured: crystalline Tl2OsSeCl at its relaxed geometry at the PBE level of DFT.

a b c (Å): 6.090 4.312 6.090
angles (deg): 90.00 90.00 90.00
Fractional coordinates of all 5 atoms:
Tl 0.000 0.000 0.500
Tl 0.500 0.000 0.000
Os 0.000 0.500 0.000
Se 0.500 0.500 0.500
Cl 0.000 0.000 0.000

Computed properties:
magnetization: 2.3 μB per formula unit
total DFT energy (no corrections): -3.380 eV per atom
energy relative to the elements, uncorrected: 879 meV/atom

(2)
Computed, not measured: crystalline AcPr2CoPd at its relaxed geometry at the PBE level of DFT.

a b c (Å): 6.750 6.662 6.974
angles (deg): 118.53 90.00 90.00
Fractional coordinates of all 10 atoms:
Ac 0.750 0.750 0.501
Ac 0.250 0.250 0.499
Pr 0.500 0.252 0.000
Pr 0.000 0.748 0.000
Pr 0.500 0.748 0.000
Pr 0.000 0.252 0.000
Co 0.250 0.875 0.750
Co 0.750 0.125 0.250
Pd 0.250 0.670 0.340
Pd 0.750 0.330 0.660

Computed properties:
magnetization: 0.0 μB per formula unit
total DFT energy (no corrections): -5.385 eV per atom
calculated formation energy: -0.96 eV/f.u.

(3)
Computed, not measured: crystalline MgReSb3 at its relaxed geometry at the PBE level of DFT.

a b c (Å): 5.249 5.249 5.249
angles (deg): 90.00 90.00 90.00
Fractional coordinates of all 5 atoms:
Re 0.500 0.500 0.500
Mg 0.000 0.000 0.000
Sb 0.000 0.500 0.000
Sb 0.000 0.000 0.500
Sb 0.500 0.000 0.000

Computed properties:
magnetization: 3.7 μB per formula unit
total DFT energy (no corrections): -3.714 eV per atom
energy above the lowest structure with this stoichiometry: 4.79 eV per formula unit
energy relative to the elements, uncorrected: 1568 meV/atom

(4)
Computed, not measured: crystalline Tl12Hg3Se5 at its relaxed geometry at the PBE level of DFT.

a b c (Å): 15.745 15.745 15.745
angles (deg): 109.47 109.47 109.47
Fractional coordinates of all 80 atoms:
Hg 0.750 0.375 0.125
Hg 0.875 0.750 0.125
Hg 0.375 0.750 0.625
Hg 0.250 0.125 0.375
Hg 0.875 0.125 0.250
Hg 0.375 0.625 0.250
Hg 0.625 0.375 0.750
Hg 0.125 0.875 0.750
Hg 0.750 0.875 0.625
Hg 0.625 0.250 0.375
Hg 0.125 0.250 0.875
Hg 0.250 0.625 0.875
Se 0.125 0.375 0.250
Se 0.000 0.500 0.000
Se 0.000 0.000 0.000
Se 0.375 0.250 0.125
Se 0.500 0.000 0.500
Se 0.500 0.500 0.000
Se 0.125 0.750 0.375
Se 0.750 0.125 0.875
Se 0.750 0.625 0.375
Se 0.375 0.125 0.750
Se 0.625 0.875 0.250
Se 0.500 0.500 0.500
Se 0.500 0.000 0.000
Se 0.000 0.000 0.500
Se 0.250 0.375 0.625
Se 0.250 0.875 0.125
Se 0.000 0.500 0.500
Se 0.875 0.250 0.625
Se 0.625 0.750 0.875
Se 0.875 0.625 0.750
Tl 0.725 0.133 0.052
Tl 0.327 0.552 0.419
Tl 0.948 0.367 0.275
Tl 0.552 0.225 0.133
Tl 0.592 0.725 0.673
Tl 0.948 0.581 0.173
Tl 0.327 0.775 0.408
Tl 0.081 0.908 0.133
Tl 0.581 0.948 0.673
Tl 0.725 0.592 0.173
Tl 0.775 0.448 0.367
Tl 0.827 0.919 0.052
Tl 0.133 0.725 0.552
Tl 0.367 0.419 0.092
Tl 0.092 0.919 0.367
Tl 0.408 0.133 0.581
Tl 0.092 0.173 0.225
Tl 0.448 0.673 0.081
Tl 0.827 0.908 0.275
Tl 0.133 0.408 0.081
Tl 0.367 0.948 0.775
Tl 0.581 0.633 0.408
Tl 0.919 0.827 0.552
Tl 0.775 0.327 0.908
Tl 0.419 0.367 0.592
Tl 0.081 0.173 0.448
Tl 0.225 0.673 0.092
Tl 0.173 0.092 0.725
Tl 0.633 0.052 0.225
Tl 0.867 0.592 0.919
Tl 0.552 0.327 0.919
Tl 0.592 0.867 0.419
Tl 0.908 0.827 0.775
Tl 0.908 0.081 0.633
Tl 0.867 0.275 0.448
Tl 0.173 0.081 0.948
Tl 0.633 0.581 0.908
Tl 0.419 0.052 0.327
Tl 0.275 0.408 0.827
Tl 0.225 0.552 0.633
Tl 0.919 0.092 0.867
Tl 0.673 0.225 0.592
Tl 0.448 0.775 0.867
Tl 0.052 0.419 0.827
Tl 0.408 0.275 0.327
Tl 0.052 0.633 0.725
Tl 0.673 0.448 0.581
Tl 0.275 0.867 0.948

Computed properties:
magnetization: 0.0 μB per formula unit
total DFT energy (no corrections): -2.485 eV per atom
energy relative to the elements, uncorrected: -149 meV/atom

(5)
Computed, not measured: crystalline BaAsPd2Rh at its relaxed geometry at the PBE level of DFT.

a b c (Å): 4.884 4.884 4.731
angles (deg): 90.00 90.00 90.00
Fractional coordinates of all 5 atoms:
As 0.000 0.000 0.000
Rh 0.000 0.000 0.500
Ba 0.500 0.500 0.500
Pd 0.000 0.500 0.000
Pd 0.500 0.000 0.000

Computed properties:
magnetization: 0.0 μB per formula unit
total DFT energy (no corrections): -5.225 eV per atom
calculated formation energy: -1.82 eV/f.u.

(6)
Computed, not measured: crystalline Nd4ZnPt3 at its relaxed geometry at the PBE level of DFT.

a b c (Å): 3.946 4.560 11.028
angles (deg): 90.00 90.00 90.00
Fractional coordinates of all 8 atoms:
Zn 0.500 0.500 0.073
Nd 0.500 0.500 0.369
Nd 0.000 0.500 0.855
Nd 0.000 0.000 0.140
Nd 0.500 0.000 0.636
Pt 0.000 0.500 0.588
Pt 0.000 0.000 0.412
Pt 0.500 0.000 0.926

Computed properties:
magnetization: 0.0 μB per formula unit
total DFT energy (no corrections): -5.750 eV per atom
calculated formation energy: -7.53 eV/f.u.

(7)
Computed, not measured: crystalline CeInSnGe at its relaxed geometry at the PBE level of DFT.

a b c (Å): 4.391 4.524 4.848
angles (deg): 90.00 90.00 90.00
Fractional coordinates of all 4 atoms:
Ce 0.500 0.000 0.500
In 0.500 0.500 0.000
Sn 0.000 0.000 0.000
Ge 0.000 0.500 0.500

Computed properties:
magnetization: 0.2 μB per formula unit
total DFT energy (no corrections): -4.805 eV per atom
calculated formation energy: -1.93 eV/f.u.

(8)
Computed, not measured: crystalline SrBe2Cl at its relaxed geometry at the PBE level of DFT.

a b c (Å): 3.336 3.336 8.673
angles (deg): 90.00 90.00 90.09
Fractional coordinates of all 4 atoms:
Sr 0.500 0.500 0.765
Be 0.000 0.000 0.055
Be 0.500 0.500 0.106
Cl 0.000 0.000 0.575

Computed properties:
magnetization: 0.0 μB per formula unit
total DFT energy (no corrections): -2.805 eV per atom
energy above the lowest structure with this stoichiometry: 0.41 eV per formula unit
energy relative to the elements, uncorrected: -59 meV/atom

(9)
Computed, not measured: crystalline RhPbSe2 at its relaxed geometry at the PBE level of DFT.

a b c (Å): 10.471 10.471 10.471
angles (deg): 17.36 17.36 17.36
Fractional coordinates of all 4 atoms:
Pb 0.500 0.500 0.500
Rh 0.000 0.000 0.000
Se 0.924 0.924 0.924
Se 0.076 0.076 0.076

Computed properties:
magnetization: 0.0 μB per formula unit
total DFT energy (no corrections): -4.227 eV per atom
energy relative to the elements, uncorrected: 281 meV/atom

(10)
Computed, not measured: crystalline Mg5Mo3 at its relaxed geometry at the PBE level of DFT.

a b c (Å): 6.017 6.017 4.017
angles (deg): 90.00 90.00 97.55
Fractional coordinates of all 8 atoms:
Mg 0.000 0.000 0.000
Mg 0.500 0.000 0.000
Mg 0.000 0.500 0.000
Mg 0.753 0.247 0.500
Mg 0.247 0.753 0.500
Mo 0.500 0.500 0.000
Mo 0.723 0.723 0.500
Mo 0.277 0.277 0.500

Computed properties:
magnetization: 0.4 μB per formula unit
total DFT energy (no corrections): -4.737 eV per atom
calculated formation energy: 2.57 eV/f.u.
energy above the lowest structure with this stoichiometry: 0.00 eV per formula unit

(11)
Computed, not measured: crystalline PrMg2P2Pd7 at its relaxed geometry at the PBE level of DFT.

a b c (Å): 4.614 4.614 10.472
angles (deg): 90.88 90.88 77.77
Fractional coordinates of all 12 atoms:
Pr 0.000 0.000 0.000
Mg 0.869 0.869 0.386
Mg 0.131 0.131 0.614
P 0.659 0.659 0.810
P 0.341 0.341 0.190
Pd 0.500 0.500 0.000
Pd 0.353 0.353 0.418
Pd 0.647 0.647 0.582
Pd 0.845 0.363 0.247
Pd 0.363 0.845 0.247
Pd 0.637 0.155 0.753
Pd 0.155 0.637 0.753

Computed properties:
magnetization: 0.0 μB per formula unit
total DFT energy (no corrections): -5.204 eV per atom
calculated formation energy: -7.31 eV/f.u.

(12)
Computed, not measured: crystalline Pm4NdZn5 at its relaxed geometry at the PBE level of DFT.

a b c (Å): 3.663 3.663 18.355
angles (deg): 90.00 90.00 90.00
Fractional coordinates of all 10 atoms:
Pm 0.000 0.000 0.201
Pm 0.000 0.000 0.400
Pm 0.000 0.000 0.600
Pm 0.000 0.000 0.799
Nd 0.000 0.000 0.000
Zn 0.500 0.500 0.102
Zn 0.500 0.500 0.300
Zn 0.500 0.500 0.500
Zn 0.500 0.500 0.700
Zn 0.500 0.500 0.898

Computed properties:
magnetization: 0.0 μB per formula unit
total DFT energy (no corrections): -3.326 eV per atom
calculated formation energy: -3.12 eV/f.u.

Question: total DFT energy (no corrections) of number 9 (RhPbSe2)?
Answer: -4.227 eV per atom